(1)
First-principles (GGA-PBE) data for SbW3 after structural relaxation, as listed in Alexandria via LeMat-Bulk.

Polymorph energy (0 for the lowest one) ... 3.7 kJ per mole of atoms

abc: 3.2529 3.2529 6.5609
angles: 90.00 90.00 90.00
Element x y z (fractional)
Sb 0.0000 0.0000 0.0000
W 0.0000 0.0000 0.5000
W 0.5000 0.5000 0.2646
W 0.5000 0.5000 0.7354

---

(2)
First-principles (GGA-PBE) data for SbAsPt2 after structural relaxation, as listed in Alexandria via LeMat-Bulk.

Polymorph energy (0 for the lowest one) ... 14.2 kJ per mole of atoms

abc: 3.5982 3.5982 6.0124
angles: 90.00 90.00 90.00
Element x y z (fractional)
Sb 0.0000 0.0000 0.0000
As 0.5000 0.5000 0.4032
Pt 0.0000 0.0000 0.5329
Pt 0.5000 0.5000 0.8164

---

(3)
First-principles (GGA-PBE) data for RbLa2HfO after structural relaxation, as listed in Alexandria via LeMat-Bulk.

abc: 5.6714 5.6714 4.9288
angles: 90.00 90.00 90.00
Element x y z (fractional)
Rb 0.0000 0.0000 0.0000
La 0.0000 0.5000 0.0000
La 0.5000 0.0000 0.0000
Hf 0.0000 0.0000 0.5000
O 0.5000 0.5000 0.5000

---

| no. | Fermi-level density of states (states/eV per cell) | uncorrected formation energy (meV/atom) |
| --- | --- | --- |
| 1 | 4.4 | 518 |
| 2 | 1.7 | -209 |
| 3 | 3.9 | 1735 |